Here is an optimized crystal structure of K3Ac2YO6 from Alexandria via LeMat-Bulk. Energies are from PBE-GGA.

abc: 6.482 6.482 6.686
angles: 99.20 99.20 120.07
Element x y z (fractional)
Y: 0.000 0.000 0.000
O: 0.376 0.064 0.192
O: 0.624 0.936 0.808
O: 0.751 0.751 0.191
Ac: 0.333 0.667 0.000
O: 0.249 0.249 0.809
K: 0.841 0.159 0.500
O: 0.064 0.376 0.192
Ac: 0.667 0.333 0.000
O: 0.936 0.624 0.808
K: 0.500 0.500 0.500
K: 0.159 0.841 0.500

Output
E in eV per atom: -6.585
ΔE_f (raw) in eV/atom: -2.608
SG: C2/m


Here is an optimized crystal structure of K2SiRu from Alexandria via LeMat-Bulk. Energies are from PBE-GGA.

abc: 3.107 5.520 5.266
angles: 90.00 90.00 90.00
Each line ends with the local moment (μB).
Element x y z (fractional)
Si: 0.500 0.500 0.750  0.00
K: 0.000 0.000 0.002  0.00
Ru: 0.500 0.500 0.250  0.91
K: 0.000 0.000 0.498  0.00

Output
E in eV per atom: -3.329
ΔE_f (raw) in eV/atom: 0.894
SG: Pmmm


Here is an optimized crystal structure of SnBr from Alexandria via LeMat-Bulk. Energies are from PBE-GGA.

abc: 5.101 5.681 6.090
angles: 72.62 89.32 71.49
Element x y z (fractional)
Br: 0.320 0.198 0.699
Br: 0.680 0.802 0.301
Sn: 0.301 0.355 0.087
Sn: 0.699 0.645 0.913

Output
E in eV per atom: -3.203
ΔE_f (raw) in eV/atom: -0.365
SG: P-1


Here is an optimized crystal structure of InCu3Ge from Alexandria via LeMat-Bulk. Energies are from PBE-GGA.

abc: 4.795 4.795 4.795
angles: 90.00 90.00 90.00
Element x y z (fractional)
Cu: 0.500 0.000 0.000
In: 0.000 0.000 0.000
Cu: 0.000 0.500 0.000
Cu: 0.000 0.000 0.500
Ge: 0.500 0.500 0.500

Output
E in eV per atom: -2.989
SG: Pm-3m
Calculated formation energy in meV per atom: 940